## EuZnGe (PBE-GGA)

Data for a relaxed structure of EuZnGe.

## Properties
The calculation puts the energy of formation at -0.52 eV per atom. The value obtained for the volume is 138.2 Å³ per cell. As for the space group: Immm, No. 71.

```
EuZnGe
1.0
-2.1656 3.7856 4.2141
2.1656 -3.7856 4.2141
2.1656 3.7856 -4.2141
Eu Zn Ge
2 2 2
Cartesian
0.0000 0.0000 2.1060
0.0000 0.0000 6.3223
0.0000 2.5212 0.0000
0.0000 5.0500 0.0000
2.1656 1.2759 0.0000
0.0000 2.5097 4.2141
```



## YTm5Bi4 (PBE-GGA)

Data for a relaxed structure of YTm5Bi4.

## Properties
The calculation puts the energy of formation at -0.53 eV per atom. The value obtained for the volume is 321.8 Å³ per cell. As for the space group: C2/m, No. 12.

```
YTm5Bi4
1.0
9.8831 -2.1800 0.0000
9.8831 2.1800 0.0000
-1.4753 0.0000 7.4688
Y Tm Bi
1 5 4
Cartesian
0.0000 0.0000 0.0000
-0.7377 0.0000 3.7344
5.4067 0.0000 2.8883
4.7992 0.0000 6.8271
13.4917 0.0000 0.6417
12.8841 0.0000 4.5805
2.1747 0.0000 2.4324
8.2996 0.0000 1.6647
9.9912 0.0000 5.8042
16.1162 0.0000 5.0364
```



## TePF2 (PBE-GGA)

Data for a relaxed structure of TePF2.

## Properties
The value obtained for the volume is 78.4 Å³ per cell. The energy above the most stable polymorph in this dataset is 0 kJ/mol of formula units. As for the space group: R-3m, No. 166.

```
TePF2
1.0
1.5183 0.8766 9.8175
-1.5183 0.8766 9.8175
0.0000 -1.7532 9.8175
Te P F
1 1 2
Cartesian
0.0000 0.0000 0.0000
0.0000 0.0000 14.7263
0.0000 0.0000 13.0463
0.0000 0.0000 16.4063
```